## AgHg2 (PBE)

Data for a relaxed AgHg2 crystal.

```
AgHg2
1.0
3.857 -2.050 0.000
3.857 2.050 0.000
-2.503 0.000 4.857
Ag Hg
1 2
direct
0.000 0.000 0.000
0.781 0.781 0.313
0.219 0.219 0.687
```

Calculated values
DFT formation energy   111.4 meV per atom
Raw total energy   -1.03 eV/atom
V   25.607 Å³/atom


## Sn2GeMo (PBE)

Data for a relaxed Sn2GeMo crystal.

```
Sn2GeMo
1.0
0.000 3.455 3.455
3.455 0.000 3.455
3.455 3.455 0.000
Mo Sn Ge
1 2 1
direct
0.250 0.250 0.250
0.750 0.750 0.750
0.000 0.000 0.000
0.500 0.500 0.500
```

Calculated values
Size of the total moment   1.9 μB/cell
Raw total energy   -5.24 eV/atom
V   20.615 Å³/atom


## LiFeCuBi (PBE)

Data for a relaxed LiFeCuBi crystal.

```
LiFeCuBi
1.0
3.598 -1.893 -1.682
0.541 -4.356 0.306
-0.314 -2.514 -3.598
Cu Fe Bi Li
1 1 1 1
direct
0.500 0.500 0.500
0.750 0.750 0.750
0.250 0.250 0.250
0.000 0.000 0.000
```

Calculated values
Size of the total moment   2.7 μB/cell
Raw total energy   -4.17 eV/atom
V   15.060 Å³/atom


## ZrNbCu (PBE)

Data for a relaxed ZrNbCu crystal.

```
ZrNbCu
1.0
-0.086 -3.908 -1.949
-3.467 -2.611 0.494
-2.700 -0.705 -3.360
Zr Cu Nb
1 1 1
direct
0.750 0.750 0.750
0.000 0.000 0.000
0.250 0.250 0.250
```

Calculated values
Size of the total moment   0.0 μB/cell
DFT formation energy   432.1 meV per atom
Raw total energy   -7.02 eV/atom
V   19.641 Å³/atom


## Hf2Nb4P3N3 (PBE)

Data for a relaxed Hf2Nb4P3N3 crystal.

```
Hf2Nb4P3N3
1.0
-1.962 3.684 3.944
-2.584 -2.000 4.722
11.766 -0.930 2.611
N Nb P Hf
6 8 6 4
direct
0.346 0.806 0.000
0.806 0.346 0.500
0.194 0.654 0.500
0.654 0.194 0.000
0.000 0.500 0.000
0.500 0.000 0.500
0.698 0.879 0.095
0.879 0.698 0.595
0.046 0.185 0.096
0.185 0.046 0.596
0.121 0.302 0.405
0.815 0.954 0.404
0.302 0.121 0.905
0.954 0.815 0.904
0.069 0.931 0.250
0.766 0.581 0.249
0.581 0.766 0.749
0.931 0.069 0.750
0.234 0.419 0.751
0.419 0.234 0.251
0.466 0.640 0.396
0.360 0.534 0.104
0.640 0.466 0.896
0.534 0.360 0.604
```

Calculated values
Size of the total moment   0.0 μB/cell
Raw total energy   -9.54 eV/atom
V   13.895 Å³/atom


## LiScTlAg (PBE)

Data for a relaxed LiScTlAg crystal.

```
LiScTlAg
1.0
0.000 3.389 3.389
3.389 0.000 3.389
3.389 3.389 0.000
Ag Sc Tl Li
1 1 1 1
direct
0.000 0.000 0.000
0.500 0.500 0.500
0.250 0.250 0.250
0.750 0.750 0.750
```

Calculated values
Size of the total moment   0.0 μB/cell
Raw total energy   -3.55 eV/atom
V   19.470 Å³/atom


## Te2Pd2Au (PBE)

Data for a relaxed Te2Pd2Au crystal.

```
Te2Pd2Au
1.0
-2.105 2.105 6.244
2.105 -2.105 6.244
2.105 2.105 -6.244
Te Pd Au
2 2 1
direct
0.381 0.381 0.000
0.619 0.619 0.000
0.250 0.750 0.500
0.750 0.250 0.500
0.000 0.000 0.000
```

Calculated values
Raw total energy   -3.92 eV/atom
V   22.137 Å³/atom


## Pm4TcI5 (PBE)

Data for a relaxed Pm4TcI5 crystal.

```
Pm4TcI5
1.0
9.865 -2.090 0.000
9.865 2.090 0.000
-2.255 0.000 9.227
Pm I Tc
4 5 1
direct
0.363 0.363 0.930
0.637 0.637 0.070
0.000 0.000 0.782
0.000 0.000 0.218
0.832 0.832 0.668
0.171 0.171 0.836
0.168 0.168 0.332
0.829 0.829 0.164
0.500 0.500 0.500
0.500 0.500 0.000
```

Calculated values
Size of the total moment   0.3 μB/cell
Raw total energy   -4.71 eV/atom
V   38.054 Å³/atom


## MgCuAu2 (PBE)

Data for a relaxed MgCuAu2 crystal.

```
MgCuAu2
1.0
0.000 3.218 3.218
3.218 0.000 3.218
3.218 3.218 0.000
Cu Au Mg
1 2 1
direct
0.250 0.250 0.250
0.000 0.000 0.000
0.750 0.750 0.750
0.500 0.500 0.500
```

Calculated values
Raw total energy   -3.22 eV/atom
V   16.666 Å³/atom


## Nb2Ge3Pt2 (PBE)

Data for a relaxed Nb2Ge3Pt2 crystal.

```
Nb2Ge3Pt2
1.0
-6.618 3.637 3.637
-3.637 3.637 6.618
-3.637 6.618 3.637
Pt Ge Nb
2 3 2
direct
0.999 0.999 0.999
0.501 0.501 0.501
0.389 0.389 0.389
0.630 0.630 0.630
0.858 0.858 0.858
0.246 0.246 0.246
0.752 0.752 0.752
```

Calculated values
Size of the total moment   0.0 μB/cell
Raw total energy   -6.76 eV/atom
V   17.631 Å³/atom


## K2ScTaS6 (PBE)

Data for a relaxed K2ScTaS6 crystal.

```
K2ScTaS6
1.0
-6.067 -1.633 -3.106
-5.420 -2.287 3.809
-5.643 4.054 0.911
S K Ta Sc
6 2 1 1
direct
0.250 0.258 0.751
0.742 0.261 0.747
0.751 0.250 0.258
0.747 0.742 0.261
0.258 0.751 0.250
0.261 0.747 0.742
0.751 0.751 0.751
0.252 0.252 0.252
0.494 0.494 0.494
0.996 0.996 0.996
```

Calculated values
Size of the total moment   0.0 μB/cell
Raw total energy   -5.58 eV/atom
V   24.166 Å³/atom


## BaMgInPt2 (PBE)

Data for a relaxed BaMgInPt2 crystal.

```
BaMgInPt2
1.0
2.849 1.909 5.784
-2.669 -1.237 6.047
1.488 -3.092 -5.783
Pt In Mg Ba
2 1 1 1
direct
0.385 0.385 0.000
0.615 0.615 0.000
0.250 0.750 0.500
0.750 0.250 0.500
0.000 0.000 0.000
```

Calculated values
Size of the total moment   0.0 μB/cell
Raw total energy   -4.40 eV/atom
V   23.945 Å³/atom


## Y2Ho2I3NCl2 (PBE)

Data for a relaxed Y2Ho2I3NCl2 crystal.

```
Y2Ho2I3NCl2
1.0
-4.626 -7.364 3.029
-1.486 -7.452 5.202
-3.254 5.853 4.942
Ho I N Y Cl
2 3 1 2 2
direct
0.998 0.998 0.189
0.002 0.002 0.811
0.500 0.500 0.500
0.826 0.826 0.198
0.174 0.174 0.802
0.500 0.500 0.000
0.632 0.632 0.061
0.368 0.368 0.939
0.148 0.148 0.302
0.852 0.852 0.698
```

Calculated values
Size of the total moment   0.0 μB/cell
Raw total energy   -5.36 eV/atom
V   28.197 Å³/atom


## Bi2Ir9 (PBE)

Data for a relaxed Bi2Ir9 crystal.

```
Bi2Ir9
1.0
-1.792 1.046 -1.989
-1.010 -1.675 2.106
-5.718 29.374 20.610
Ir Bi
9 2
direct
0.667 0.333 0.880
0.333 0.667 0.120
0.000 0.000 0.000
0.667 0.333 0.239
0.333 0.667 0.940
0.000 0.000 0.180
0.333 0.667 0.761
0.000 0.000 0.820
0.667 0.333 0.060
0.333 0.667 0.307
0.667 0.333 0.693
```

Calculated values
Size of the total moment   0.0 μB/cell
Raw total energy   -7.54 eV/atom
V   23.634 Å³/atom


## KPrSeO (PBE)

Data for a relaxed KPrSeO crystal.

```
KPrSeO
1.0
4.261 0.000 0.000
0.000 4.261 0.000
0.000 0.000 10.293
K O Se Pr
2 2 2 2
direct
0.750 0.250 0.500
0.250 0.750 0.500
0.750 0.250 0.000
0.250 0.750 0.000
0.250 0.250 0.723
0.750 0.750 0.277
0.250 0.250 0.106
0.750 0.750 0.894
```

Calculated values
Size of the total moment   0.0 μB/cell
Raw total energy   -5.63 eV/atom
V   23.358 Å³/atom


## Tm3Si2Ni4Ge2 (PBE)

Data for a relaxed Tm3Si2Ni4Ge2 crystal.

```
Tm3Si2Ni4Ge2
1.0
7.417 2.098 0.346
2.910 2.770 6.587
-3.258 -5.757 -3.972
Ni Si Tm Ge
4 2 3 2
direct
0.878 0.182 0.696
0.122 0.818 0.304
0.486 0.182 0.304
0.514 0.818 0.696
0.718 0.718 0.000
0.282 0.282 0.000
0.871 0.371 0.500
0.129 0.629 0.500
0.500 0.500 0.000
0.804 0.000 0.804
0.196 0.000 0.196
```

Calculated values
Size of the total moment   0.0 μB/cell
Raw total energy   -5.88 eV/atom
V   16.017 Å³/atom


## SmYHg6 (PBE)

Data for a relaxed SmYHg6 crystal.

```
SmYHg6
1.0
6.662 0.000 0.000
-3.331 5.769 0.000
0.000 0.000 5.003
Hg Y Sm
6 1 1
direct
0.833 0.167 0.000
0.833 0.667 0.000
0.503 0.006 0.500
0.994 0.497 0.500
0.333 0.167 0.000
0.503 0.497 0.500
0.000 0.000 0.500
0.333 0.667 0.000
```

Calculated values
Size of the total moment   0.0 μB/cell
DFT formation energy   -370.2 meV per atom
Raw total energy   -1.99 eV/atom
V   24.036 Å³/atom


## LaGdPBr2 (PBE)

Data for a relaxed LaGdPBr2 crystal.

```
LaGdPBr2
1.0
-3.691 -0.327 -1.870
0.757 -2.125 3.485
-3.682 8.242 5.825
Br Gd La P
2 1 1 1
direct
0.333 0.667 0.327
0.000 0.000 0.684
0.333 0.667 0.851
0.000 0.000 0.148
0.667 0.333 0.990
```

Calculated values
Size of the total moment   0.0 μB/cell
Raw total energy   -5.47 eV/atom
V   32.061 Å³/atom


## Zn3N2 (PBE)

Data for a relaxed Zn3N2 crystal.

```
Zn3N2
1.0
-1.544 1.544 6.170
1.544 -1.544 6.170
1.544 1.544 -6.170
Zn N
3 2
direct
0.000 0.000 0.000
0.328 0.328 0.000
0.672 0.672 0.000
0.850 0.850 0.000
0.150 0.150 0.000
```

Calculated values
Raw total energy   -3.78 eV/atom
V   11.761 Å³/atom


## ErTm2Tl3AgIr2 (PBE)

Data for a relaxed ErTm2Tl3AgIr2 crystal.

```
ErTm2Tl3AgIr2
1.0
3.723 0.000 0.000
0.000 6.795 3.917
0.000 -6.795 3.917
Er Tm Tl Ir Ag
1 2 3 2 1
direct
0.000 0.591 0.591
0.000 0.000 0.410
0.000 0.410 0.000
0.500 0.727 0.000
0.500 0.000 0.727
0.500 0.273 0.273
0.500 0.332 0.667
0.500 0.667 0.332
0.000 0.000 0.000
```

Calculated values
Size of the total moment   0.0 μB/cell
Raw total energy   -5.00 eV/atom
V   22.023 Å³/atom